Density functional theory data (PBE-GGA) for a geometry-optimized CeSn2Hg structure.

a = 4.5471 Å, b = 4.7690 Å, c = 4.7690 Å
α = 90.00°, β = 90.00°, γ = 90.00°
Closest atoms and distances in Å follow each position.
Fractional positions:
Ce1 0.5000 0.5000 0.5000  8 Sn 3.29, 4 Hg 3.37
Sn1 0.0000 0.0000 0.5000  4 Hg 3.29, 4 Ce 3.29, 4 Sn 3.37
Hg1 0.5000 0.0000 0.0000  8 Sn 3.29, 4 Ce 3.37
Sn2 0.0000 0.5000 0.0000  4 Hg 3.29, 4 Ce 3.29, 4 Sn 3.37

- magnetic moment (μB/f.u.) = 0.8
- energy (eV/atom) = -4.0466
- calculated volume (Å³/f.u.) = 103.4
- mass density (Mg/m³) = 9.28

---

Density functional theory data (PBE-GGA) for a geometry-optimized CeSn2Hg2 structure.

a = 5.1871 Å, b = 5.1871 Å, c = 12.6543 Å
α = 90.00°, β = 90.00°, γ = 120.00°
Closest atoms and distances in Å follow each position.
Fractional positions:
Sn1 0.6667 0.3333 0.7500  3 Ce 2.99
Hg1 0.3333 0.6667 0.6081  6 Sn 3.29-3.49, 3 Ce 3.49, 1 Hg 3.59
Hg2 0.6667 0.3333 0.3919  6 Sn 3.29-3.49, 3 Ce 3.49, 1 Hg 3.59
Hg3 0.6667 0.3333 0.1081  6 Sn 3.29-3.49, 3 Ce 3.49, 1 Hg 3.59
Hg4 0.3333 0.6667 0.8919  6 Sn 3.29-3.49, 3 Ce 3.49, 1 Hg 3.59
Sn2 0.0000 0.0000 0.0000  2 Ce 3.16, 6 Hg 3.29
Ce1 0.0000 0.0000 0.2500  5 Sn 2.99-3.16
Ce2 0.0000 0.0000 0.7500  5 Sn 2.99-3.16
Sn3 0.3333 0.6667 0.2500  3 Ce 2.99
Sn4 0.0000 0.0000 0.5000  2 Ce 3.16, 6 Hg 3.29

- magnetic moment (μB/f.u.) = 0.7
- energy (eV/atom) = -2.9591
- calculated volume (Å³/f.u.) = 147.4
- mass density (Mg/m³) = 8.77

---

Density functional theory data (PBE-GGA) for a geometry-optimized Ce12SnHg3 structure.

a = 4.7971 Å, b = 4.7971 Å, c = 19.0925 Å
α = 90.00°, β = 90.00°, γ = 90.00°
Closest atoms and distances in Å follow each position.
Fractional positions:
Ce1 0.5000 0.5000 0.0000  8 Ce 3.37, 4 Sn 3.39
Ce2 0.0000 0.5000 0.3749  8 Ce 3.36-3.39, 4 Hg 3.38
Hg1 0.0000 0.0000 0.5000  12 Ce 3.38-3.39
Ce3 0.0000 0.5000 0.8761  2 Sn 3.37, 8 Ce 3.37-3.42, 2 Hg 3.40
Ce4 0.5000 0.0000 0.3749  8 Ce 3.36-3.39, 4 Hg 3.38
Ce5 0.0000 0.5000 0.6251  8 Ce 3.36-3.39, 4 Hg 3.38
Ce6 0.5000 0.5000 0.2515  8 Ce 3.36-3.42, 4 Hg 3.39
Sn1 0.0000 0.0000 0.0000  12 Ce 3.37-3.39
Ce7 0.5000 0.0000 0.6251  8 Ce 3.36-3.39, 4 Hg 3.38
Ce8 0.5000 0.5000 0.5000  8 Ce 3.38, 4 Hg 3.39
Hg2 0.0000 0.0000 0.7501  12 Ce 3.38-3.40
Ce9 0.0000 0.5000 0.1239  8 Ce 3.37-3.42, 2 Sn 3.37, 2 Hg 3.40
Ce10 0.5000 0.0000 0.1239  8 Ce 3.37-3.42, 2 Sn 3.37, 2 Hg 3.40
Hg3 0.0000 0.0000 0.2499  12 Ce 3.38-3.40
Ce11 0.5000 0.0000 0.8761  8 Ce 3.37-3.42, 2 Sn 3.37, 2 Hg 3.40
Ce12 0.5000 0.5000 0.7485  8 Ce 3.36-3.42, 4 Hg 3.39

- magnetic moment (μB/f.u.) = 11.8
- energy (eV/atom) = -4.9265
- calculated volume (Å³/f.u.) = 439.4
- mass density (Mg/m³) = 9.08

---

Density functional theory data (PBE-GGA) for a geometry-optimized SrCe2Sn2Hg2 structure.

a = 5.0504 Å, b = 5.0504 Å, c = 10.0140 Å
α = 75.39°, β = 75.39°, γ = 60.00°
Closest atoms and distances in Å follow each position.
Fractional positions:
Hg1 0.4337 0.4337 0.6990  3 Sn 3.03, 3 Ce 3.13
Sn1 0.7385 0.7385 0.7844  3 Hg 3.03
Sr1 0.0000 0.0000 0.0000  6 Sn 3.57
Ce1 0.8599 0.8599 0.4202  3 Hg 3.13, 3 Ce 3.29, 1 Sn 3.49
Ce2 0.1401 0.1401 0.5798  3 Hg 3.13, 3 Ce 3.29, 1 Sn 3.49
Sn2 0.2615 0.2615 0.2156  3 Hg 3.03
Hg2 0.5663 0.5663 0.3010  3 Sn 3.03, 3 Ce 3.13

- magnetic moment (μB/f.u.) = 3.3
- energy (eV/atom) = -3.4986
- calculated volume (Å³/f.u.) = 211.6
- mass density (Mg/m³) = 7.90

---

Density functional theory data (PBE-GGA) for a geometry-optimized SrCeSnHg structure.

a = 5.5775 Å, b = 5.5775 Å, c = 5.5775 Å
α = 60.00°, β = 60.00°, γ = 60.00°
Closest atoms and distances in Å follow each position.
Fractional positions:
Ce1 0.7500 0.7500 0.7500  4 Hg 3.42, 4 Sn 3.42
Sr1 0.2500 0.2500 0.2500  4 Hg 3.42, 4 Sn 3.42
Sn1 0.5000 0.5000 0.5000  4 Ce 3.42, 4 Sr 3.42
Hg1 0.0000 0.0000 0.0000  4 Ce 3.42, 4 Sr 3.42

- magnetic moment (μB/f.u.) = 1.4
- energy (eV/atom) = -3.4673
- calculated volume (Å³/f.u.) = 122.7
- mass density (Mg/m³) = 7.40

---

Density functional theory data (PBE-GGA) for a geometry-optimized TbCe2Sn2Hg2 structure.

a = 4.8594 Å, b = 4.8594 Å, c = 9.6378 Å
α = 75.40°, β = 75.40°, γ = 60.00°
Closest atoms and distances in Å follow each position.
Fractional positions:
Hg1 0.5719 0.5719 0.2842  3 Sn 2.97, 3 Ce 3.10
Ce1 0.8576 0.8576 0.4271  3 Hg 3.10, 3 Ce 3.11
Hg2 0.4281 0.4281 0.7158  3 Sn 2.97, 3 Ce 3.10
Sn1 0.2740 0.2740 0.1779  3 Hg 2.97, 3 Tb 3.25
Sn2 0.7260 0.7260 0.8221  3 Hg 2.97, 3 Tb 3.25
Tb1 0.0000 0.0000 0.0000  6 Sn 3.25
Ce2 0.1424 0.1424 0.5729  3 Hg 3.10, 3 Ce 3.11

- magnetic moment (μB/f.u.) = 2.9
- energy (eV/atom) = -3.8627
- calculated volume (Å³/f.u.) = 188.6
- mass density (Mg/m³) = 9.49

---

Density functional theory data (PBE-GGA) for a geometry-optimized Ce2ThSn2Hg2 structure.

a = 5.0107 Å, b = 5.0107 Å, c = 9.4802 Å
α = 74.68°, β = 74.68°, γ = 60.00°
Closest atoms and distances in Å follow each position.
Fractional positions:
Th1 0.0000 0.0000 0.0000  6 Sn 3.35, 2 Ce 3.64
Ce1 0.8655 0.8655 0.4035  3 Hg 3.10, 3 Ce 3.38
Sn1 0.2713 0.2713 0.1862  3 Hg 3.02, 3 Th 3.35
Hg1 0.5731 0.5731 0.2807  3 Sn 3.02, 3 Ce 3.10
Ce2 0.1345 0.1345 0.5965  3 Hg 3.10, 3 Ce 3.38
Hg2 0.4269 0.4269 0.7193  3 Sn 3.02, 3 Ce 3.10
Sn2 0.7287 0.7287 0.8138  3 Hg 3.02, 3 Th 3.35

- magnetic moment (μB/f.u.) = 2.7
- energy (eV/atom) = -4.2021
- calculated volume (Å³/f.u.) = 196.3
- mass density (Mg/m³) = 9.74

---

Density functional theory data (PBE-GGA) for a geometry-optimized CeThSnHg structure.

a = 4.1076 Å, b = 4.1076 Å, c = 6.6627 Å
α = 90.00°, β = 90.00°, γ = 90.00°
Closest atoms and distances in Å follow each position.
Fractional positions:
Sn1 0.5000 0.5000 0.1069  2 Hg 3.32-3.35, 4 Th 3.33, 4 Ce 3.33
Th1 0.0000 0.0000 0.8634  2 Ce 3.26-3.40, 4 Sn 3.33, 4 Hg 3.38
Hg1 0.5000 0.5000 0.6048  2 Sn 3.32-3.35, 4 Ce 3.35, 4 Th 3.38
Ce1 0.0000 0.0000 0.3529  2 Th 3.26-3.40, 4 Sn 3.33, 4 Hg 3.35

- magnetic moment (μB/f.u.) = 0.7
- energy (eV/atom) = -4.8188
- calculated volume (Å³/f.u.) = 112.4
- mass density (Mg/m³) = 10.21

---

Density functional theory data (PBE-GGA) for a geometry-optimized CeThSnHg structure.

a = 5.4416 Å, b = 5.4416 Å, c = 5.4416 Å
α = 60.00°, β = 60.00°, γ = 60.00°
Closest atoms and distances in Å follow each position.
Fractional positions:
Sn1 0.2500 0.2500 0.2500  4 Ce 3.33, 4 Th 3.33
Hg1 0.7500 0.7500 0.7500  4 Th 3.33, 4 Ce 3.33
Th1 0.5000 0.5000 0.5000  4 Sn 3.33, 4 Hg 3.33
Ce1 0.0000 0.0000 0.0000  4 Hg 3.33, 4 Sn 3.33

- magnetic moment (μB/f.u.) = 1.4
- energy (eV/atom) = -4.7835
- calculated volume (Å³/f.u.) = 113.9
- mass density (Mg/m³) = 10.08

---

Density functional theory data (PBE-GGA) for a geometry-optimized CeTmSnHg structure.

a = 5.3344 Å, b = 5.3344 Å, c = 5.3344 Å
α = 60.00°, β = 60.00°, γ = 60.00°
Closest atoms and distances in Å follow each position.
Fractional positions:
Hg1 0.7500 0.7500 0.7500  4 Ce 3.27, 4 Tm 3.27
Sn1 0.2500 0.2500 0.2500  4 Ce 3.27, 4 Tm 3.27
Ce1 0.0000 0.0000 0.0000  4 Hg 3.27, 4 Sn 3.27
Tm1 0.5000 0.5000 0.5000  4 Sn 3.27, 4 Hg 3.27

- magnetic moment (μB/f.u.) = 1.2
- energy (eV/atom) = -4.1614
- calculated volume (Å³/f.u.) = 107.3
- mass density (Mg/m³) = 9.72

---

Density functional theory data (PBE-GGA) for a geometry-optimized Ce2TmSn2Hg2 structure.

a = 4.9143 Å, b = 4.9143 Å, c = 9.4412 Å
α = 74.91°, β = 74.91°, γ = 60.00°
Closest atoms and distances in Å follow each position.
Fractional positions:
Sn1 0.2752 0.2752 0.1745  3 Hg 3.00, 3 Tm 3.24
Sn2 0.7248 0.7248 0.8255  3 Hg 3.00, 3 Tm 3.24
Hg1 0.5720 0.5720 0.2840  3 Sn 3.00, 3 Ce 3.09
Ce1 0.8605 0.8605 0.4185  3 Hg 3.09, 3 Ce 3.19
Hg2 0.4280 0.4280 0.7160  3 Sn 3.00, 3 Ce 3.09
Ce2 0.1395 0.1395 0.5815  3 Hg 3.09, 3 Ce 3.19
Tm1 0.0000 0.0000 0.0000  6 Sn 3.24

- magnetic moment (μB/f.u.) = 2.8
- energy (eV/atom) = -3.8055
- calculated volume (Å³/f.u.) = 188.3
- mass density (Mg/m³) = 9.59

---

Density functional theory data (PBE-GGA) for a geometry-optimized CeZnSnHg structure.

a = 5.1271 Å, b = 5.1271 Å, c = 5.1271 Å
α = 60.00°, β = 60.00°, γ = 60.00°
Closest atoms and distances in Å follow each position.
Fractional positions:
Hg1 0.5000 0.5000 0.5000  4 Ce 3.14, 4 Sn 3.14
Ce1 0.7500 0.7500 0.7500  4 Zn 3.14, 4 Hg 3.14
Sn1 0.2500 0.2500 0.2500  4 Hg 3.14, 4 Zn 3.14
Zn1 0.0000 0.0000 0.0000  4 Sn 3.14, 4 Ce 3.14

- magnetic moment (μB/f.u.) = 0.6
- energy (eV/atom) = -3.1577
- calculated volume (Å³/f.u.) = 95.3
- mass density (Mg/m³) = 9.14

---

Density functional theory data (PBE-GGA) for a geometry-optimized CeZrSnHg structure.

a = 5.2211 Å, b = 5.2211 Å, c = 5.2211 Å
α = 60.00°, β = 60.00°, γ = 60.00°
Closest atoms and distances in Å follow each position.
Fractional positions:
Zr1 0.5000 0.5000 0.5000  4 Hg 3.20, 4 Sn 3.20
Ce1 0.0000 0.0000 0.0000  4 Sn 3.20, 4 Hg 3.20
Sn1 0.2500 0.2500 0.2500  4 Ce 3.20, 4 Zr 3.20
Hg1 0.7500 0.7500 0.7500  4 Zr 3.20, 4 Ce 3.20

- magnetic moment (μB/f.u.) = 2.0
- energy (eV/atom) = -5.0050
- calculated volume (Å³/f.u.) = 100.6
- mass density (Mg/m³) = 9.09